No. 1
{
  "formula": "HfMn2SiS",
  "functional": "PBE",
  "state": "optimized geometry",
  "lattice_angstrom": [[5.044, 0.000, 0.000], [0.000, 5.044, 0.000], [0.000, 0.000, 4.682]],
  "species": ["Hf", "Mn", "Mn", "Si", "S"],
  "frac_coords": [[0.000, 0.000, 0.000], [0.000, 0.500, 0.000], [0.500, 0.000, 0.000], [0.500, 0.500, 0.500], [0.000, 0.000, 0.500]],
  "e_form_raw_ev_per_fu": 5.37,
  "crystal_system": "tetragonal",
  "space_group": "P4/mmm, No. 123"
}

No. 2
{
  "formula": "Tb2HfMnS6",
  "functional": "PBE",
  "state": "optimized geometry",
  "lattice_angstrom": [[3.342, 1.930, 5.930], [-3.342, 1.930, 5.930], [0.000, -3.859, 5.930]],
  "species": ["Tb", "Tb", "Hf", "Mn", "S", "S", "S", "S", "S", "S"],
  "frac_coords": [[0.000, 0.000, 0.000], [0.496, 0.496, 0.496], [0.697, 0.697, 0.697], [0.203, 0.203, 0.203], [0.064, 0.821, 0.430], [0.319, 0.575, 0.920], [0.430, 0.064, 0.821], [0.575, 0.920, 0.319], [0.821, 0.430, 0.064], [0.920, 0.319, 0.575]],
  "e_form_raw_ev_per_fu": -15.77,
  "crystal_system": "trigonal",
  "space_group": "R3, No. 146"
}

No. 3
{
  "formula": "Hf3MnTl3S8",
  "functional": "PBE",
  "state": "optimized geometry",
  "lattice_angstrom": [[6.357, -3.671, 0.000], [6.357, 3.671, 0.000], [-4.221, 0.000, 7.923]],
  "species": ["Hf", "Hf", "Hf", "Mn", "Tl", "Tl", "Tl", "S", "S", "S", "S", "S", "S", "S", "S"],
  "frac_coords": [[0.000, 0.000, 0.000], [0.000, 0.500, 0.000], [0.500, 0.000, 0.000], [0.500, 0.500, 0.000], [0.000, 0.500, 0.500], [0.500, 0.000, 0.500], [0.500, 0.500, 0.500], [0.223, 0.729, 0.182], [0.227, 0.227, 0.183], [0.271, 0.271, 0.818], [0.271, 0.777, 0.818], [0.729, 0.223, 0.182], [0.729, 0.729, 0.182], [0.773, 0.773, 0.817], [0.777, 0.271, 0.818]],
  "e_form_raw_ev_per_fu": -16.24,
  "crystal_system": "monoclinic",
  "space_group": "C2/m, No. 12"
}

No. 4
{
  "formula": "Hf2MnTl2S6",
  "functional": "PBE",
  "state": "optimized geometry",
  "lattice_angstrom": [[3.200, -5.566, 0.000], [3.200, 5.566, 0.000], [-2.101, 0.000, 7.652]],
  "species": ["Hf", "Hf", "Mn", "Tl", "Tl", "S", "S", "S", "S", "S", "S"],
  "frac_coords": [[0.167, 0.833, 0.000], [0.833, 0.167, 0.000], [0.500, 0.500, 0.000], [0.335, 0.665, 0.500], [0.665, 0.335, 0.500], [0.098, 0.438, 0.812], [0.224, 0.224, 0.185], [0.438, 0.098, 0.812], [0.562, 0.902, 0.188], [0.776, 0.776, 0.815], [0.902, 0.562, 0.188]],
  "e_form_raw_ev_per_fu": -12.02,
  "crystal_system": "monoclinic",
  "space_group": "C2/m, No. 12"
}

No. 5
{
  "formula": "HfMnV2S",
  "functional": "PBE",
  "state": "optimized geometry",
  "lattice_angstrom": [[4.324, 0.000, 0.000], [0.000, 4.324, 0.000], [0.000, 0.000, 4.206]],
  "species": ["Hf", "Mn", "V", "V", "S"],
  "frac_coords": [[0.000, 0.000, 0.000], [0.500, 0.500, 0.000], [0.000, 0.500, 0.500], [0.500, 0.000, 0.500], [0.500, 0.500, 0.500]],
  "e_form_raw_ev_per_fu": -0.33,
  "crystal_system": "tetragonal",
  "space_group": "P4/mmm, No. 123"
}

No. 6
{
  "formula": "Hf6MnSb2",
  "functional": "PBE",
  "state": "optimized geometry",
  "lattice_angstrom": [[5.915, 0.000, 0.000], [0.000, 5.915, 0.000], [0.000, 0.000, 13.529]],
  "species": ["Hf", "Hf", "Hf", "Hf", "Hf", "Hf", "Hf", "Hf", "Hf", "Hf", "Hf", "Hf", "Mn", "Mn", "Sb", "Sb", "Sb", "Sb"],
  "frac_coords": [[0.186, 0.186, 0.125], [0.186, 0.186, 0.875], [0.196, 0.196, 0.500], [0.304, 0.696, 0.000], [0.314, 0.686, 0.375], [0.314, 0.686, 0.625], [0.686, 0.314, 0.375], [0.686, 0.314, 0.625], [0.696, 0.304, 0.000], [0.804, 0.804, 0.500], [0.814, 0.814, 0.125], [0.814, 0.814, 0.875], [0.000, 0.000, 0.000], [0.500, 0.500, 0.500], [0.000, 0.000, 0.308], [0.000, 0.000, 0.692], [0.500, 0.500, 0.192], [0.500, 0.500, 0.808]],
  "e_form_raw_ev_per_fu": 2.51,
  "crystal_system": "tetragonal",
  "space_group": "P4_2/mnm, No. 136"
}

No. 7
{
  "formula": "Hf8MnSb2",
  "functional": "PBE",
  "state": "optimized geometry",
  "lattice_angstrom": [[8.385, -2.013, 0.000], [8.385, 2.013, 0.000], [-0.654, 0.000, 7.082]],
  "species": ["Hf", "Hf", "Hf", "Hf", "Hf", "Hf", "Hf", "Hf", "Mn", "Sb", "Sb"],
  "frac_coords": [[0.009, 0.009, 0.228], [0.207, 0.207, 0.354], [0.359, 0.359, 0.954], [0.409, 0.409, 0.488], [0.591, 0.591, 0.512], [0.641, 0.641, 0.046], [0.793, 0.793, 0.646], [0.991, 0.991, 0.772], [0.500, 0.500, 0.000], [0.181, 0.181, 0.767], [0.819, 0.819, 0.233]],
  "e_form_raw_ev_per_fu": -1.83,
  "crystal_system": "monoclinic",
  "space_group": "C2/m, No. 12"
}

No. 8
{
  "formula": "Hf4MnSb2",
  "functional": "PBE",
  "state": "optimized geometry",
  "lattice_angstrom": [[6.196, 0.000, 0.000], [0.000, 3.271, 0.000], [-3.059, 0.000, 7.571]],
  "species": ["Hf", "Hf", "Hf", "Hf", "Mn", "Sb", "Sb"],
  "frac_coords": [[0.146, 0.000, 0.361], [0.349, 0.500, 0.726], [0.651, 0.500, 0.274], [0.854, 0.000, 0.639], [0.500, 0.500, 0.500], [0.250, 0.000, 0.010], [0.750, 0.000, 0.990]],
  "e_form_raw_ev_per_fu": -0.27,
  "crystal_system": "monoclinic",
  "space_group": "P2/m, No. 10"
}

No. 9
{
  "formula": "HfMn2Sb",
  "functional": "PBE",
  "state": "optimized geometry",
  "lattice_angstrom": [[-2.029, 2.029, 9.431], [2.029, -2.029, 9.431], [2.029, 2.029, -9.431]],
  "species": ["Hf", "Hf", "Mn", "Mn", "Mn", "Mn", "Sb", "Sb"],
  "frac_coords": [[0.000, 0.000, 0.000], [0.750, 0.250, 0.500], [0.126, 0.625, 0.001], [0.375, 0.376, 0.501], [0.624, 0.125, 0.999], [0.875, 0.874, 0.499], [0.250, 0.750, 0.500], [0.500, 0.500, 0.000]],
  "e_form_raw_ev_per_fu": 1.39,
  "crystal_system": "tetragonal",
  "space_group": "I-42d, No. 122"
}

No. 10
{
  "formula": "HfMnSb",
  "functional": "PBE",
  "state": "optimized geometry",
  "lattice_angstrom": [[-1.748, 1.748, 4.692], [1.748, -1.748, 4.692], [1.748, 1.748, -4.692]],
  "species": ["Hf", "Mn", "Sb"],
  "frac_coords": [[0.000, 0.000, 0.000], [0.345, 0.345, 0.000], [0.686, 0.686, 0.000]],
  "e_form_raw_ev_per_fu": -0.19,
  "crystal_system": "tetragonal",
  "space_group": "I4mm, No. 107"
}

No. 11
{
  "formula": "Hf2MnSb",
  "functional": "PBE",
  "state": "optimized geometry",
  "lattice_angstrom": [[-2.064, 2.064, 9.784], [2.064, -2.064, 9.784], [2.064, 2.064, -9.784]],
  "species": ["Hf", "Hf", "Hf", "Hf", "Mn", "Mn", "Sb", "Sb"],
  "frac_coords": [[0.121, 0.625, 0.996], [0.375, 0.371, 0.496], [0.629, 0.125, 0.004], [0.875, 0.879, 0.504], [0.000, 0.000, 0.000], [0.750, 0.250, 0.500], [0.250, 0.750, 0.500], [0.500, 0.500, 0.000]],
  "e_form_raw_ev_per_fu": 2.28,
  "crystal_system": "tetragonal",
  "space_group": "I-42d, No. 122"
}

No. 12
{
  "formula": "HfMn2Sb",
  "functional": "PBE",
  "state": "optimized geometry",
  "lattice_angstrom": [[4.339, 0.000, 0.000], [0.000, 4.339, 0.000], [0.000, 0.000, 3.268]],
  "species": ["Hf", "Mn", "Mn", "Sb"],
  "frac_coords": [[0.000, 0.000, 0.000], [0.000, 0.500, 0.500], [0.500, 0.000, 0.500], [0.500, 0.500, 0.000]],
  "e_form_raw_ev_per_fu": -0.24,
  "crystal_system": "tetragonal",
  "space_group": "P4/mmm, No. 123"
}

| no. | final energy (eV per atom) |
| --- | --- |
| 1 | -6.494 |
| 2 | -6.892 |
| 3 | -6.359 |
| 4 | -6.418 |
| 5 | -8.363 |
| 6 | -8.292 |
| 7 | -8.989 |
| 8 | -8.215 |
| 9 | -7.756 |
| 10 | -7.811 |
| 11 | -7.731 |
| 12 | -8.163 |